Material: HfScInAu
Method: DFT, PBE
State: relaxed

a b c (Å): 6.949 6.949 6.949
angles (deg): 90.00 90.00 90.00
Space group F-43m (No. 216)
One atom of each set of equivalent atoms:
Hf 0.000 0.000 0.000
Sc 0.000 0.000 0.500
In 0.250 0.250 0.750
Au 0.250 0.250 0.250

Calculated values
**Electronic total energy**: -5.942 eV per atom
**Size of the total moment**: 1.0 μB per formula unit
**Formation enthalpy at 0 K**: -366 meV/atom
**Theoretical density**: 10.6 g/cm³

---

Material: Hf2InAuSe
Method: DFT, PBE
State: relaxed

a b c (Å): 4.888 4.888 5.213
angles (deg): 90.00 90.00 90.00
Space group P4/mmm (No. 123)
One atom of each set of equivalent atoms:
Hf 0.000 0.500 0.000
In 0.000 0.000 0.500
Au 0.500 0.500 0.500
Se 0.000 0.000 0.000

Calculated values
**Electronic total energy**: -5.475 eV per atom
**E_form (uncorrected)**: 0.4068 eV/atom
**Size of the total moment**: 0.0 μB per formula unit
**Theoretical density**: 10.0 g/cm³

---

Material: Hf2InSnAu
Method: DFT, PBE
State: relaxed

a b c (Å): 5.214 5.214 5.089
angles (deg): 90.00 90.00 90.00
Space group P4/mmm (No. 123)
One atom of each set of equivalent atoms:
Hf 0.000 0.500 0.000
In 0.000 0.000 0.500
Sn 0.500 0.500 0.500
Au 0.500 0.500 0.000

Calculated values
**Electronic total energy**: -5.383 eV per atom
**Size of the total moment**: 0.0 μB per formula unit
**Formation enthalpy at 0 K**: 602 meV/atom
**Theoretical density**: 9.5 g/cm³

---

Material: Sr2HfInAu6
Method: DFT, PBE
State: relaxed

a b c (Å): 10.572 10.572 10.572
angles (deg): 90.00 90.00 90.00
Space group Fm-3m (No. 225)
One atom of each set of equivalent atoms:
Sr 0.250 0.250 0.250
Hf 0.000 0.000 0.000
In 0.000 0.000 0.500
Au 0.000 0.000 0.248

Calculated values
**Electronic total energy**: -3.807 eV per atom
**Size of the total moment**: 0.0 μB per formula unit
**Formation enthalpy at 0 K**: -235 meV/atom
**Theoretical density**: 9.3 g/cm³

---

Material: Hf2InTcAu
Method: DFT, PBE
State: relaxed

a b c (Å): 5.064 5.064 4.974
angles (deg): 90.00 90.00 90.00
Space group P4/mmm (No. 123)
One atom of each set of equivalent atoms:
Hf 0.000 0.500 0.000
In 0.000 0.000 0.500
Tc 0.500 0.500 0.500
Au 0.500 0.500 0.000

Calculated values
**Electronic total energy**: -6.292 eV per atom
**Size of the total moment**: 1.7 μB per formula unit
**Offset from the most stable computed form**: 0.000 kcal/mol of atoms
**Formation enthalpy at 0 K**: 966 meV/atom
**Theoretical density**: 10.0 g/cm³

---

Material: Hf2InTcAu
Method: DFT, PBE
State: relaxed

a b c (Å): 5.112 5.112 4.923
angles (deg): 90.00 90.00 90.00
Space group P4/mmm (No. 123)
One atom of each set of equivalent atoms:
Hf 0.000 0.500 0.000
In 0.000 0.000 0.500
Tc 0.500 0.500 0.500
Au 0.000 0.000 0.000

Calculated values
**Electronic total energy**: -6.115 eV per atom
**Size of the total moment**: 1.3 μB per formula unit
**Offset from the most stable computed form**: 4.082 kcal/mol of atoms
**Formation enthalpy at 0 K**: 1143 meV/atom
**Theoretical density**: 9.9 g/cm³

---

Question: electronic total energy of number 4 (Sr2HfInAu6)?
Answer: -3.807 eV per atom